1.
Compound: ReTcPb2
Source: Alexandria
Functional: GGA-PBE
Structure: optimized geometry

abc: 3.0694 3.0694 32.6118
angles: 90.00 90.00 120.00
With the nearest neighbours (Å) after each atom.
Space group R3m (No. 160, hexagonal axes)
Inequivalent atoms, fractional coordinates:
1 Re 0.0000 0.0000 0.0000 [3 per cell]  3 Tc 2.57
2 Tc 0.0000 0.0000 0.7239 [3 per cell]  3 Re 2.57
3 Pb 0.0000 0.0000 0.2536 [3 per cell]  6 Pb 3.07, 3 Re 3.15
4 Pb 0.0000 0.0000 0.4691 [3 per cell]  6 Pb 3.07, 3 Tc 3.12

Computed properties:
* DFT formation energy: 0.53 eV/atom
* E above lowest polymorph: 203.0 meV/atom
* spin magnetization: 0.00 μB per formula unit

---

2.
Compound: GeTeOs
Source: Alexandria
Functional: GGA-PBE
Structure: optimized geometry

abc: 11.9313 3.8385 5.9649
angles: 90.00 99.79 90.00
With the nearest neighbours (Å) after each atom.
Space group C2/m (No. 12)
Inequivalent atoms, fractional coordinates:
1 Ge 0.1070 0.0000 0.0572 [4 per cell]  3 Os 2.50-2.51, 1 Ge 2.53
2 Te 0.1435 0.5000 0.5595 [4 per cell]  3 Os 2.70-2.72
3 Os 0.2374 0.5000 0.1789 [4 per cell]  3 Ge 2.50-2.51, 3 Te 2.70-2.72

Computed properties:
* E_form (uncorrected): 0.1152 eV/atom
* spin magnetization: 0.00 μB per formula unit

---

3.
Compound: Tl2ZnCu
Source: Alexandria
Functional: GGA-PBE
Structure: optimized geometry

abc: 3.2889 3.2889 8.2420
angles: 90.00 90.00 90.00
With the nearest neighbours (Å) after each atom.
Space group P4mm (No. 99)
Inequivalent atoms, fractional coordinates:
1 Tl 0.0000 0.0000 0.0000 [1 per cell]  1 Zn 3.08, 4 Cu 3.13, 4 Tl 3.29
2 Tl 0.5000 0.5000 0.3513 [1 per cell]  1 Cu 3.25, 4 Zn 3.25, 4 Tl 3.29
3 Zn 0.0000 0.0000 0.6269 [1 per cell]  4 Cu 2.52
4 Cu 0.5000 0.5000 0.7451 [1 per cell]  4 Zn 2.52

Computed properties:
* DFT formation energy: 0.14 eV/atom
* E above lowest polymorph: 0.0 meV/atom
* spin magnetization: 0.00 μB per formula unit

---

4.
Compound: Mn2Zn2Pd
Source: Alexandria
Functional: GGA-PBE
Structure: optimized geometry

abc: 6.9423 6.9423 2.8206
angles: 90.00 90.00 90.00
With the nearest neighbours (Å) after each atom.
Space group P4/mbm (No. 127)
Inequivalent atoms, fractional coordinates:
1 Mn 0.0983 0.4017 0.0000 [4 per cell]  1 Mn 1.93
2 Zn 0.1943 0.6943 0.5000 [4 per cell]  6 Mn 2.48-2.56
3 Pd 0.0000 0.0000 0.0000 [2 per cell]  2 Pd 2.82, 4 Mn 2.87, 8 Zn 2.88

Computed properties:
* DFT formation energy: 0.23 eV/atom
* E above lowest polymorph: 0.0 meV/atom
* spin magnetization: 0.00 μB per formula unit

---

5.
Compound: Li2NdPtO4
Source: Alexandria
Functional: GGA-PBE
Structure: optimized geometry

abc: 4.6918 4.6918 8.6541
angles: 90.00 90.00 90.00
With the nearest neighbours (Å) after each atom.
Space group I4/mmm (No. 139)
Inequivalent atoms, fractional coordinates:
1 Li 0.0000 0.5000 0.2500 [4 per cell]  6 O 2.16-2.35
2 Nd 0.0000 0.0000 0.0000 [2 per cell]  6 O 2.31-2.35
3 Pt 0.0000 0.0000 0.5000 [2 per cell]  2 O 2.02
4 O 0.0000 0.0000 0.2666 [4 per cell]  1 Pt 2.02
5 O 0.0000 0.5000 0.0000 [4 per cell]  2 Li 2.16, 2 Nd 2.35, 2 Pt 2.35

Computed properties:
* E_form (uncorrected): -1.7801 eV/atom
* spin magnetization: 0.00 μB per formula unit

---

6.
Compound: SrSiSb
Source: Alexandria
Functional: GGA-PBE
Structure: optimized geometry

abc: 12.0860 4.1357 7.4762
angles: 90.00 103.44 90.00
With the nearest neighbours (Å) after each atom.
Space group Cm (No. 8)
Inequivalent atoms, fractional coordinates:
1 Sr 0.0000 0.0000 0.0000 [2 per cell]  1 Si 3.20, 5 Sb 3.32-3.45
2 Sr 0.1992 0.0000 0.5301 [2 per cell]  3 Si 3.15-3.22, 3 Sb 3.39-3.49
3 Si 0.2365 0.5000 0.2198 [2 per cell]  1 Si 2.41, 2 Sb 2.67
4 Si 0.4326 0.5000 0.3890 [2 per cell]  1 Si 2.41
5 Sb 0.2769 0.0000 0.0175 [2 per cell]  2 Si 2.67
6 Sb 0.4878 0.0000 0.6260 [2 per cell]  2 Si 2.70

Computed properties:
* E above lowest polymorph: 47.4 meV/atom
* E_form (uncorrected): -0.4308 eV/atom
* spin magnetization: 0.00 μB per formula unit